[1]
# Pm4Ge3Br | the Alexandria database | PBE-GGA | relaxed
# * final energy: -42.341 eV/f.u.
# * formation energy (no corrections): -7.814 eV/f.u.
# * magnetic moment: 0.000 μB/atom
# * distance to the lowest polymorph of the same formula: 0.0000 eV per atom
# * density of states at the Fermi level: 0.635 states/eV/atom
data_Pm4Ge3Br
_chemical_formula_sum 'Pm4 Ge3 Br1'
_cell_length_a 4.294
_cell_length_b 7.387
_cell_length_c 7.387
_cell_angle_alpha 70.62
_cell_angle_beta 89.98
_cell_angle_gamma 89.98
_symmetry_space_group_name_H-M 'P 1'
_symmetry_Int_Tables_number 1
_symmetry_space_group_name_Hall 'P 1'
loop_
_atom_site_label
_atom_site_type_symbol
_atom_site_fract_x
_atom_site_fract_y
_atom_site_fract_z
Ge1 Ge 0.500 0.000 0.500
Ge2 Ge 0.000 0.000 0.000
Ge3 Ge 0.000 0.500 0.500
Br1 Br 0.500 0.500 0.000
Pm1 Pm 0.000 0.767 0.733
Pm2 Pm 0.500 0.754 0.254
Pm3 Pm 0.000 0.233 0.267
Pm4 Pm 0.500 0.246 0.746

---

[2]
# Pm4Ge2Br | the Alexandria database | PBE-GGA | relaxed
# * final energy: -36.044 eV/f.u.
# * formation energy (no corrections): -6.134 eV/f.u.
# * magnetic moment: 0.000 μB/atom
# * distance to the lowest polymorph of the same formula: 0.0000 eV per atom
# * density of states at the Fermi level: 0.986 states/eV/atom
data_Pm4Ge2Br
_chemical_formula_sum 'Pm8 Ge4 Br2'
_cell_length_a 7.859
_cell_length_b 7.859
_cell_length_c 7.859
_cell_angle_alpha 110.11
_cell_angle_beta 108.20
_cell_angle_gamma 110.11
_symmetry_space_group_name_H-M 'P 1'
_symmetry_Int_Tables_number 1
_symmetry_space_group_name_Hall 'P 1'
loop_
_atom_site_label
_atom_site_type_symbol
_atom_site_fract_x
_atom_site_fract_y
_atom_site_fract_z
Ge1 Ge 0.875 0.123 0.498
Ge2 Ge 0.502 0.377 0.625
Ge3 Ge 0.375 0.877 0.752
Ge4 Ge 0.248 0.623 0.125
Br1 Br 0.000 0.000 0.000
Br2 Br 0.750 0.500 0.250
Pm1 Pm 0.134 0.891 0.391
Pm2 Pm 0.609 0.743 0.500
Pm3 Pm 0.994 0.609 0.750
Pm4 Pm 0.250 0.243 0.859
Pm5 Pm 0.616 0.757 0.006
Pm6 Pm 0.756 0.257 0.866
Pm7 Pm 0.500 0.109 0.244
Pm8 Pm 0.141 0.391 0.384

---

[3]
# Pm4GeBr5 | the Alexandria database | PBE-GGA | relaxed
# * final energy: -47.249 eV/f.u.
# * formation energy (no corrections): -15.265 eV/f.u.
# * magnetic moment: 0.000 μB/atom
# * density of states at the Fermi level: 0.372 states/eV/atom
data_Pm4GeBr5
_chemical_formula_sum 'Pm4 Ge1 Br5'
_cell_length_a 4.168
_cell_length_b 8.645
_cell_length_c 9.547
_cell_angle_alpha 102.69
_cell_angle_beta 102.61
_cell_angle_gamma 90.00
_symmetry_space_group_name_H-M 'P 1'
_symmetry_Int_Tables_number 1
_symmetry_space_group_name_Hall 'P 1'
loop_
_atom_site_label
_atom_site_type_symbol
_atom_site_fract_x
_atom_site_fract_y
_atom_site_fract_z
Pm1 Pm 0.653 0.080 0.307
Pm2 Pm 0.000 0.226 0.001
Pm3 Pm 0.347 0.920 0.693
Pm4 Pm 0.000 0.774 0.999
Ge1 Ge 0.500 0.000 0.000
Br1 Br 0.167 0.330 0.333
Br2 Br 0.171 0.837 0.342
Br3 Br 0.829 0.163 0.658
Br4 Br 0.500 0.500 0.000
Br5 Br 0.833 0.670 0.667

---

[4]
# Pm3Ge2Br | the Alexandria database | PBE-GGA | relaxed
# * final energy: -31.605 eV/f.u.
# * formation energy (no corrections): -6.446 eV/f.u.
# * magnetic moment: 0.000 μB/atom
# * distance to the lowest polymorph of the same formula: 0.0000 eV per atom
# * density of states at the Fermi level: 0.287 states/eV/atom
data_Pm3Ge2Br
_chemical_formula_sum 'Pm3 Ge2 Br1'
_cell_length_a 4.245
_cell_length_b 6.013
_cell_length_c 7.469
_cell_angle_alpha 113.74
_cell_angle_beta 106.51
_cell_angle_gamma 90.00
_symmetry_space_group_name_H-M 'P 1'
_symmetry_Int_Tables_number 1
_symmetry_space_group_name_Hall 'P 1'
loop_
_atom_site_label
_atom_site_type_symbol
_atom_site_fract_x
_atom_site_fract_y
_atom_site_fract_z
Pm1 Pm 0.821 0.321 0.141
Pm2 Pm 0.179 0.679 0.859
Pm3 Pm 0.500 0.000 0.500
Ge1 Ge 0.838 0.838 0.177
Ge2 Ge 0.162 0.162 0.823
Br1 Br 0.500 0.500 0.500